No. 1
# K2MgNiCl6 | Alexandria via LeMat-Bulk | PBE-GGA | optimized geometry
# Energy   -0.2616 Ry/atom
# Symmetry   R-3m
# Formation energy without anion corrections   -1494 meV/atom
# V   496.3 Å³ per cell
data_K2MgNiCl6
_symmetry_space_group_name_H-M 'P 1'
_symmetry_Int_Tables_number 1
_cell_length_a 12.388
_cell_length_b 12.388
_cell_length_c 12.388
_cell_angle_alpha 32.80
_cell_angle_beta 32.80
_cell_angle_gamma 32.80
loop_
_symmetry_equiv_pos_as_xyz
'x,y,z'
loop_
_atom_site_label
_atom_site_type_symbol
_atom_site_fract_x
_atom_site_fract_y
_atom_site_fract_z
K1 K 0.125 0.125 0.125
K2 K 0.295 0.295 0.295
K3 K 0.705 0.705 0.705
K4 K 0.875 0.875 0.875
Mg1 Mg 0.414 0.414 0.414
Mg2 Mg 0.586 0.586 0.586
Ni1 Ni 0.000 0.000 0.000
Ni2 Ni 0.500 0.500 0.500
Cl1 Cl 0.140 0.618 0.618
Cl2 Cl 0.203 0.203 0.714
Cl3 Cl 0.203 0.714 0.203
Cl4 Cl 0.286 0.797 0.797
Cl5 Cl 0.382 0.382 0.860
Cl6 Cl 0.382 0.860 0.382
Cl7 Cl 0.618 0.140 0.618
Cl8 Cl 0.618 0.618 0.140
Cl9 Cl 0.714 0.203 0.203
Cl10 Cl 0.797 0.286 0.797
Cl11 Cl 0.797 0.797 0.286
Cl12 Cl 0.860 0.382 0.382

=====

No. 2
# TeW4 | Alexandria via LeMat-Bulk | PBE-GGA | optimized geometry
# Relative energy among the computed polymorphs   0.000 eV/atom
# Energy   -0.7426 Ry/atom
# Symmetry   I4/mmm
# Formation energy without anion corrections   888 meV/atom
# V   102.6 Å³ per cell
data_TeW4
_symmetry_space_group_name_H-M 'P 1'
_symmetry_Int_Tables_number 1
_cell_length_a 6.693
_cell_length_b 6.693
_cell_length_c 6.693
_cell_angle_alpha 144.08
_cell_angle_beta 144.08
_cell_angle_gamma 51.70
loop_
_symmetry_equiv_pos_as_xyz
'x,y,z'
loop_
_atom_site_label
_atom_site_type_symbol
_atom_site_fract_x
_atom_site_fract_y
_atom_site_fract_z
Te1 Te 0.000 0.000 0.000
W1 W 0.250 0.750 0.500
W2 W 0.380 0.380 0.000
W3 W 0.620 0.620 0.000
W4 W 0.750 0.250 0.500

=====

No. 3
# RbTl2CdSb2 | Alexandria via LeMat-Bulk | PBE-GGA | optimized geometry
# Energy   -0.1922 Ry/atom
# Symmetry   Pmc2_1
# Formation energy without anion corrections   -139 meV/atom
# V   404.0 Å³ per cell
data_RbTl2CdSb2
_symmetry_space_group_name_H-M 'P 1'
_symmetry_Int_Tables_number 1
_cell_length_a 5.408
_cell_length_b 8.225
_cell_length_c 9.082
_cell_angle_alpha 90.00
_cell_angle_beta 90.00
_cell_angle_gamma 90.00
loop_
_symmetry_equiv_pos_as_xyz
'x,y,z'
loop_
_atom_site_label
_atom_site_type_symbol
_atom_site_fract_x
_atom_site_fract_y
_atom_site_fract_z
Rb1 Rb 0.000 0.096 0.000
Rb2 Rb 0.000 0.904 0.500
Tl1 Tl 0.000 0.327 0.655
Tl2 Tl 0.000 0.673 0.155
Tl3 Tl 0.500 0.442 0.971
Tl4 Tl 0.500 0.558 0.471
Cd1 Cd 0.500 0.173 0.349
Cd2 Cd 0.500 0.827 0.849
Sb1 Sb 0.000 0.352 0.320
Sb2 Sb 0.000 0.648 0.820
Sb3 Sb 0.500 0.147 0.696
Sb4 Sb 0.500 0.853 0.196